First-principles (PBE-GGA) data for a relaxed Na2La2Hg3 crystal, as listed in Alexandria via LeMat-Bulk.

The density of states at the Fermi level comes out at 0.618 states/eV per atom. The energy of formation from the pure elements is -0.349 eV/atom. As for the calculated total energy: -2.263 eV/atom.

The structure belongs to space group Cmmm (No. 65); the cell edges are 3.879, 29.248 and 3.818 Å and the angles 90.00°, 90.00° and 90.00°. The distinct sites, in fractional coordinates, are Na at (0.000, 0.196, 0.000), La at (0.000, 0.068, 0.000), Hg at (0.000, 0.365, 0.500) and Hg at (0.000, 0.500, 0.500).